1.
First-principles (PBE) data for a relaxed Cd3In4Hg2Bi2 crystal, as listed in the Alexandria database.

Properties
Theoretical density in g cm⁻³: 8.3
Space group: No. 164
Energy of formation in eV/f.u.: 0.9

```
11
Lattice="4.9042 0.0000 0.0000 -2.4521 4.2471 0.0000 0.0000 0.0000 15.4273" Properties=species:S:1:pos:R:3 pbc="T T T"
Cd 0.0000 0.0000 0.0000
Cd 0.0000 0.0000 3.7858
Cd 0.0000 0.0000 11.6415
In 0.0000 2.8314 5.4050
In 0.0000 2.8314 14.1965
In 2.4521 1.4157 1.2307
In 2.4521 1.4157 10.0223
Hg 0.0000 2.8314 2.3911
Hg 2.4521 1.4157 13.0362
Bi 0.0000 2.8314 8.9055
Bi 2.4521 1.4157 6.5218
```

---

2.
First-principles (PBE) data for a relaxed Cd2In4Hg3Bi2 crystal, as listed in the Alexandria database.

Properties
Theoretical density in g cm⁻³: 8.7
Space group: No. 164
Energy of formation in eV/f.u.: 0.7

```
11
Lattice="4.9944 0.0000 0.0000 -2.4972 4.3253 0.0000 0.0000 0.0000 15.0139" Properties=species:S:1:pos:R:3 pbc="T T T"
Cd 0.0000 2.8835 2.2868
Cd 2.4972 1.4418 12.7271
In 0.0000 2.8835 5.3010
In 0.0000 2.8835 13.8086
In 2.4972 1.4418 1.2053
In 2.4972 1.4418 9.7129
Hg 0.0000 0.0000 0.0000
Hg 0.0000 0.0000 3.7061
Hg 0.0000 0.0000 11.3078
Bi 0.0000 2.8835 8.6779
Bi 2.4972 1.4418 6.3360
```

---

3.
First-principles (PBE) data for a relaxed CdIn2Hg2Bi crystal, as listed in the Alexandria database.

Properties
Theoretical density in g cm⁻³: 9.6
Space group: No. 26
Energy of formation in eV/f.u.: 0.2

```
12
Lattice="4.6359 0.0000 0.0000 0.0000 10.0829 0.0000 0.0000 0.0000 7.0645" Properties=species:S:1:pos:R:3 pbc="T T T"
Cd 0.0000 0.0797 0.0000
Cd 0.0000 10.0031 3.5323
In 0.0000 3.5672 3.2688
In 0.0000 6.5157 6.8010
In 2.3179 1.8789 5.2097
In 2.3179 8.2040 1.6774
Hg 0.0000 3.2271 6.8510
Hg 0.0000 6.8558 3.3188
Hg 2.3179 4.8742 1.3113
Hg 2.3179 5.2087 4.8436
Bi 2.3179 1.4517 1.9183
Bi 2.3179 8.6312 5.4506
```

---

4.
First-principles (PBE) data for a relaxed CdIn4Hg2Bi crystal, as listed in the Alexandria database.

Properties
Theoretical density in g cm⁻³: 8.6
Space group: No. 63
Energy of formation in eV/f.u.: 0.4

```
16
Lattice="2.2455 -6.7769 0.0000 2.2455 6.7769 0.0000 0.0000 0.0000 15.0653" Properties=species:S:1:pos:R:3 pbc="T T T"
Cd 2.2455 5.0156 11.2990
Cd 2.2455 -5.0156 3.7663
In 0.0000 0.0000 0.0000
In 0.0000 0.0000 7.5326
In 2.2455 2.7986 8.8478
In 2.2455 2.7986 13.7501
In 2.2455 0.3471 11.2990
In 2.2455 -0.3471 3.7663
In 2.2455 -2.7986 1.3152
In 2.2455 -2.7986 6.2175
Hg 2.2455 1.5862 1.4436
Hg 2.2455 1.5862 6.0891
Hg 2.2455 -1.5862 8.9762
Hg 2.2455 -1.5862 13.6217
Bi 2.2455 4.2559 3.7663
Bi 2.2455 -4.2559 11.2990
```

---

5.
First-principles (PBE) data for a relaxed Cd2InHg8Bi crystal, as listed in the Alexandria database.

Properties
Theoretical density in g cm⁻³: 10.5
Space group: No. 12
Energy of formation in eV/f.u.: 0.8

```
12
Lattice="5.9252 -3.1427 0.0000 5.9252 3.1427 0.0000 -2.0846 0.0000 9.1083" Properties=species:S:1:pos:R:3 pbc="T T T"
Cd 1.8101 0.0000 3.5240
Cd 7.9556 0.0000 5.5843
In 5.9252 0.0000 0.0000
Hg 3.9895 1.5582 1.9961
Hg 1.4912 0.0000 0.5711
Hg 2.8535 0.0000 6.2262
Hg 5.7763 1.5582 7.1123
Hg 3.9895 -1.5582 1.9961
Hg 6.9123 0.0000 2.8821
Hg 8.2746 0.0000 8.5372
Hg 5.7763 -1.5582 7.1123
Bi -1.0423 0.0000 4.5542
```

---

6.
First-principles (PBE) data for a relaxed Cd3InHgBi crystal, as listed in the Alexandria database.

Properties
Theoretical density in g cm⁻³: 9.0
Space group: No. 11
Energy of formation in eV/f.u.: 0.3

```
12
Lattice="9.8273 0.0000 0.0000 0.0000 3.4107 0.0000 -2.9817 0.0000 9.4678" Properties=species:S:1:pos:R:3 pbc="T T T"
Cd 1.4340 0.8527 0.5441
Cd 0.5292 0.8527 5.4013
Cd -0.0150 2.5580 7.9144
Cd 6.8606 0.8527 1.5534
Cd 6.3164 2.5580 4.0665
Cd 5.4116 2.5580 8.9237
In 4.1710 2.5580 1.3674
In 2.6746 0.8527 8.1004
Hg 2.8295 0.8527 3.5621
Hg 4.0162 2.5580 5.9058
Bi -0.3709 2.5580 2.6448
Bi 7.2165 0.8527 6.8230
```